1.
The following is a DFT calculation (PBE-GGA) of an optimized crystal structure of YCo2Cl.

Structure (CIF):
```
data_YCo2Cl
_space_group_name_H-M_alt 'R 3 m'
_space_group_IT_number 160
_space_group_name_Hall 'R 3 -2"'
_cell_length_a 3.8063
_cell_length_b 3.8063
_cell_length_c 22.0750
_cell_angle_alpha 90.00
_cell_angle_beta 90.00
_cell_angle_gamma 120.00
loop_
_atom_site_label
_atom_site_type_symbol
_atom_site_fract_x
_atom_site_fract_y
_atom_site_fract_z
Y1 Y 0.0000 0.0000 0.0000
Co1 Co 0.0000 0.0000 0.2478
Co2 Co 0.0000 0.0000 0.5785
Cl1 Cl 0.0000 0.0000 0.7455
```

Values from the calculation:
Raw total energy ... -72.17 eV for the cell shown
ΔE_f (raw) ... -0.383 eV/atom
Energy above the most stable polymorph in this dataset ... 33 meV per atom



2.
The following is a DFT calculation (PBE-GGA) of an optimized crystal structure of Nd2BeZnIr2.

Structure (CIF):
```
data_Nd2BeZnIr2
_space_group_name_H-M_alt 'I b a m'
_space_group_IT_number 72
_space_group_name_Hall '-I 2 2c'
_cell_length_a 5.939
_cell_length_b 13.633
_cell_length_c 5.838
_cell_angle_alpha 90.00
_cell_angle_beta 90.00
_cell_angle_gamma 90.00
loop_
_atom_site_label
_atom_site_type_symbol
_atom_site_fract_x
_atom_site_fract_y
_atom_site_fract_z
Nd1 Nd 0.239 0.167 0.000
Be1 Be 0.000 0.500 0.250
Zn1 Zn 0.000 0.000 0.250
Ir1 Ir 0.214 0.396 0.000
```

Values from the calculation:
Raw total energy ... -141.75 eV for the cell shown



> What is the formula in the second record?

Nd2BeZnIr2



> What is the raw total energy in the second record?

-141.75 eV for the cell shown



Repeat the second record exactly.
The following is a DFT calculation (PBE-GGA) of an optimized crystal structure of Nd2BeZnIr2.

Structure (CIF):
```
data_Nd2BeZnIr2
_space_group_name_H-M_alt 'I b a m'
_space_group_IT_number 72
_space_group_name_Hall '-I 2 2c'
_cell_length_a 5.939
_cell_length_b 13.633
_cell_length_c 5.838
_cell_angle_alpha 90.00
_cell_angle_beta 90.00
_cell_angle_gamma 90.00
loop_
_atom_site_label
_atom_site_type_symbol
_atom_site_fract_x
_atom_site_fract_y
_atom_site_fract_z
Nd1 Nd 0.239 0.167 0.000
Be1 Be 0.000 0.500 0.250
Zn1 Zn 0.000 0.000 0.250
Ir1 Ir 0.214 0.396 0.000
```

Values from the calculation:
Raw total energy ... -141.75 eV for the cell shown